{"formula": "H2OsN", "functional": "PBE", "state": "optimized geometry", "cell": [[2.823, 0.000, 0.000], [-1.411, 2.445, 0.000], [0.000, 0.000, 5.203]], "species": ["H", "H", "Os", "N"], "frac_coords": [[0.000, 0.000, 0.000], [0.333, 0.667, 0.741], [0.000, 0.000, 0.316], [0.333, 0.667, 0.542]], "relative_energy_kj_per_mol_fu": 0}

=====

{"formula": "Na3Tl2RhO6", "functional": "PBE", "state": "optimized geometry", "cell": [[2.923, -5.055, 0.000], [2.923, 5.055, 0.000], [-1.962, 0.000, 5.416]], "species": ["Na", "Na", "Na", "Tl", "Tl", "Rh", "O", "O", "O", "O", "O", "O"], "frac_coords": [[0.000, 0.000, 0.000], [0.341, 0.659, 0.000], [0.659, 0.341, 0.000], [0.167, 0.833, 0.500], [0.833, 0.167, 0.500], [0.500, 0.500, 0.500], [0.134, 0.430, 0.285], [0.273, 0.273, 0.707], [0.430, 0.134, 0.285], [0.570, 0.866, 0.715], [0.727, 0.727, 0.293], [0.866, 0.570, 0.715]], "formation_energy_uncorrected_mev_per_atom": -1107}

=====

{"formula": "LaDyMgGa", "functional": "PBE", "state": "optimized geometry", "cell": [[0.000, 3.758, 3.758], [3.758, 0.000, 3.758], [3.758, 3.758, 0.000]], "species": ["La", "Dy", "Mg", "Ga"], "frac_coords": [[0.000, 0.000, 0.000], [0.500, 0.500, 0.500], [0.250, 0.250, 0.250], [0.750, 0.750, 0.750]], "e_form_mev_per_atom": -332}

=====

{"formula": "Ti6Bi2Sb", "functional": "PBE", "state": "optimized geometry", "cell": [[7.213, -3.252, 0.000], [7.213, 3.252, 0.000], [-1.441, 0.000, 4.329]], "species": ["Ti", "Ti", "Ti", "Ti", "Ti", "Ti", "Bi", "Bi", "Sb"], "frac_coords": [[0.079, 0.592, 0.336], [0.238, 0.762, 0.000], [0.408, 0.921, 0.664], [0.592, 0.079, 0.336], [0.762, 0.238, 0.000], [0.921, 0.408, 0.664], [0.335, 0.335, 0.837], [0.665, 0.665, 0.163], [0.000, 0.000, 0.500]], "formation_energy_uncorrected_mev_per_atom": 162}

=====

{"formula": "Cr2Te4Rh", "functional": "PBE", "state": "optimized geometry", "cell": [[0.000, 7.002, 4.041], [5.874, 0.000, 4.041], [5.874, 7.002, 0.000]], "species": ["Cr", "Cr", "Cr", "Cr", "Te", "Te", "Te", "Te", "Te", "Te", "Te", "Te", "Rh", "Rh"], "frac_coords": [[0.234, 0.766, 0.251], [0.501, 0.999, 0.484], [0.766, 0.234, 0.749], [0.999, 0.501, 0.016], [0.042, 0.463, 0.297], [0.052, 0.953, 0.787], [0.463, 0.042, 0.198], [0.463, 0.531, 0.708], [0.531, 0.463, 0.297], [0.542, 0.953, 0.787], [0.953, 0.052, 0.208], [0.953, 0.542, 0.719], [0.233, 0.233, 0.767], [0.483, 0.483, 0.017]], "formation_energy_uncorrected_mev_per_atom": -213}

=====

{"formula": "Tl13Pb3", "functional": "PBE", "state": "optimized geometry", "cell": [[7.400, 0.000, 0.000], [0.000, 5.751, 5.843], [0.000, -5.751, 5.843]], "species": ["Tl", "Tl", "Tl", "Tl", "Tl", "Tl", "Tl", "Tl", "Tl", "Tl", "Tl", "Tl", "Tl", "Pb", "Pb", "Pb"], "frac_coords": [[0.000, 0.000, 0.000], [0.000, 0.045, 0.544], [0.000, 0.503, 0.503], [0.000, 0.544, 0.045], [0.250, 0.294, 0.797], [0.250, 0.797, 0.294], [0.251, 0.753, 0.753], [0.500, 0.046, 0.547], [0.500, 0.499, 0.499], [0.500, 0.547, 0.046], [0.749, 0.753, 0.753], [0.750, 0.294, 0.797], [0.750, 0.797, 0.294], [0.249, 0.250, 0.250], [0.500, 0.007, 0.007], [0.751, 0.250, 0.250]], "e_form_mev_per_atom": 6}

=====

{"formula": "B3OsO", "functional": "PBE", "state": "optimized geometry", "cell": [[3.470, 0.000, 0.000], [0.000, 3.470, 0.000], [0.000, 0.000, 3.470]], "species": ["B", "B", "B", "Os", "O"], "frac_coords": [[0.000, 0.000, 0.500], [0.000, 0.500, 0.000], [0.500, 0.000, 0.000], [0.500, 0.500, 0.500], [0.000, 0.000, 0.000]], "formation_energy_uncorrected_mev_per_atom": 1224, "relative_energy_kj_per_mol_fu": 0}

=====

{"formula": "Ti6AsRh12", "functional": "PBE", "state": "optimized geometry", "cell": [[5.980, 3.453, 2.260], [-5.980, 3.453, 2.260], [0.000, -6.905, 2.260]], "species": ["Ti", "Ti", "Ti", "Ti", "Ti", "Ti", "As", "Rh", "Rh", "Rh", "Rh", "Rh", "Rh", "Rh", "Rh", "Rh", "Rh", "Rh", "Rh"], "frac_coords": [[0.082, 0.587, 0.370], [0.370, 0.082, 0.587], [0.413, 0.630, 0.918], [0.587, 0.370, 0.082], [0.630, 0.918, 0.413], [0.918, 0.413, 0.630], [0.000, 0.000, 0.000], [0.103, 0.166, 0.733], [0.166, 0.733, 0.103], [0.206, 0.327, 0.480], [0.267, 0.897, 0.834], [0.327, 0.480, 0.206], [0.480, 0.206, 0.327], [0.520, 0.794, 0.673], [0.673, 0.520, 0.794], [0.733, 0.103, 0.166], [0.794, 0.673, 0.520], [0.834, 0.267, 0.897], [0.897, 0.834, 0.267]], "e_form_mev_per_atom": -573}

=====

{"formula": "RbAgCl3", "functional": "PBE", "state": "optimized geometry", "cell": [[-2.568, 2.568, 13.935], [2.568, -2.568, 13.935], [2.568, 2.568, -13.935]], "species": ["Rb", "Rb", "Ag", "Ag", "Cl", "Cl", "Cl", "Cl", "Cl", "Cl"], "frac_coords": [[0.000, 0.000, 0.000], [0.750, 0.250, 0.500], [0.150, 0.650, 0.500], [0.350, 0.850, 0.500], [0.316, 0.316, 0.000], [0.355, 0.103, 0.252], [0.684, 0.684, 0.000], [0.851, 0.103, 0.748], [0.897, 0.149, 0.252], [0.897, 0.645, 0.748]], "formation_energy_uncorrected_mev_per_atom": -731}

=====

{"formula": "KNdSnCl6", "functional": "PBE", "state": "optimized geometry", "cell": [[6.834, 0.000, 0.000], [0.000, 6.834, 0.000], [0.000, 0.000, 13.221]], "species": ["K", "K", "Nd", "Nd", "Sn", "Sn", "Cl", "Cl", "Cl", "Cl", "Cl", "Cl", "Cl", "Cl", "Cl", "Cl", "Cl", "Cl"], "frac_coords": [[0.000, 0.000, 0.000], [0.500, 0.500, 0.500], [0.000, 0.000, 0.334], [0.500, 0.500, 0.834], [0.000, 0.000, 0.668], [0.500, 0.500, 0.168], [0.180, 0.180, 0.497], [0.202, 0.202, 0.187], [0.215, 0.215, 0.822], [0.285, 0.715, 0.322], [0.298, 0.702, 0.687], [0.320, 0.680, 0.997], [0.680, 0.320, 0.997], [0.702, 0.298, 0.687], [0.715, 0.285, 0.322], [0.785, 0.785, 0.822], [0.798, 0.798, 0.187], [0.820, 0.820, 0.497]], "formation_energy_uncorrected_mev_per_atom": -1783}

=====

{"formula": "Sr2HoSi3Pt4", "functional": "PBE", "state": "optimized geometry", "cell": [[4.362, 0.000, 0.000], [0.000, 4.362, 0.000], [0.000, 0.000, 10.685]], "species": ["Sr", "Sr", "Ho", "Si", "Si", "Si", "Pt", "Pt", "Pt", "Pt"], "frac_coords": [[0.000, 0.500, 0.234], [0.500, 0.000, 0.766], [0.000, 0.000, 0.500], [0.000, 0.500, 0.886], [0.500, 0.000, 0.114], [0.500, 0.500, 0.500], [0.000, 0.000, 0.000], [0.000, 0.500, 0.659], [0.500, 0.000, 0.341], [0.500, 0.500, 0.000]], "formation_energy_uncorrected_mev_per_atom": -949}

=====

{"formula": "Na2InS3", "functional": "PBE", "state": "optimized geometry", "cell": [[-1.837, 6.598, 3.467], [1.837, -6.598, 3.467], [1.837, 6.598, -3.467]], "species": ["Na", "Na", "In", "S", "S", "S"], "frac_coords": [[0.163, 0.000, 0.163], [0.837, 0.000, 0.837], [0.505, 0.005, 0.500], [0.150, 0.805, 0.345], [0.460, 0.805, 0.655], [0.745, 0.745, 0.000]], "formation_energy_uncorrected_mev_per_atom": -676}

=====

| no. | M_tot (μB/f.u.) | density of states at the Fermi level (states/eV per atom) | V (Å³/atom) |
| --- | --- | --- | --- |
| 1 | 0.000 | 0.184 | 8.976 |
| 2 | 0.000 | 0.019 | 13.338 |
| 3 | 0.000 | 0.899 | 26.537 |
| 4 | 0.000 | 0.770 | 22.563 |
| 5 | 6.723 | 0.596 | 23.746 |
| 6 | 0.000 | 0.335 | 31.084 |
| 7 | 0.000 | 0.909 | 8.356 |
| 8 | 0.000 | 0.754 | 14.737 |
| 9 | 0.000 | 0.076 | 36.765 |
| 10 | 0.000 | 0.000 | 34.302 |
| 11 | 0.000 | 0.308 | 20.333 |
| 12 | 0.495 | 0.157 | 28.025 |